CaMgCu2 | Alexandria | PBEsol | relaxed; crystal system = orthorhombic; SG = Imm2 (44); calculated formation energy = 51 meV per atom
1.0
3.264 0.000 0.000
0.000 4.687 0.000
-1.632 -2.344 4.780
Mg Ca Cu
1 1 2
direct
0.475 0.475 0.950 Mg
0.267 0.767 0.534 Ca
0.037 0.037 0.074 Cu
0.721 0.221 0.442 Cu

---

Sc2TlTe | Alexandria | PBEsol | relaxed; energy relative to the lowest polymorph listed for this composition = 0.130 eV/atom; crystal system = orthorhombic; SG = Imm2 (44); formation energy (no corrections) = -0.58 eV per atom
1.0
-3.152 0.749 1.884
-2.459 -1.585 -3.484
2.927 -4.624 3.009
Sc Te Tl
2 1 1
direct
0.769 0.269 0.539 Sc
0.018 0.018 0.035 Sc
0.479 0.479 0.957 Te
0.234 0.734 0.469 Tl

---

RhWBr | Alexandria | PBEsol | relaxed; energy relative to the lowest polymorph listed for this composition = 0.000 eV/atom; crystal system = tetragonal; SG = I4mm (107); formation energy (no corrections) = 0.38 eV per atom
1.0
2.948 0.000 0.000
0.000 2.948 0.000
-1.474 -1.474 5.731
W Rh Br
1 1 1
direct
0.327 0.327 0.655 W
0.690 0.690 0.379 Rh
0.983 0.983 0.966 Br

---

SrLa4Tc | Alexandria | PBEsol | relaxed; crystal system = cubic; SG = F-43m (216); calculated formation energy = 819 meV per atom
1.0
-2.402 -5.491 1.996
-0.366 -4.912 -3.956
3.783 -4.995 0.808
Sr Tc La
1 1 4
direct
0.750 0.750 0.750 Sr
0.000 0.000 0.000 Tc
0.373 0.373 0.882 La
0.882 0.373 0.373 La
0.373 0.882 0.373 La
0.373 0.373 0.373 La

---

Li2MnInRh | Alexandria | PBEsol | relaxed; crystal system = tetragonal; SG = P4/mmm (123); calculated formation energy = 1013 meV per atom
1.0
4.258 0.000 0.000
0.000 4.258 0.000
0.000 0.000 4.919
In Rh Li Mn
1 1 2 1
direct
0.000 0.000 0.500 In
0.500 0.500 0.500 Rh
0.500 0.000 0.000 Li
0.000 0.500 0.000 Li
0.000 0.000 0.000 Mn

---

PtPb2 | Alexandria | PBEsol | relaxed; crystal system = orthorhombic; SG = Pnma (62); calculated formation energy = -113 meV per atom
1.0
4.346 0.000 0.000
0.000 7.482 0.000
0.000 0.000 8.651
Pb Pt
8 4
direct
0.250 0.643 0.923 Pb
0.250 0.022 0.162 Pb
0.750 0.978 0.838 Pb
0.750 0.857 0.423 Pb
0.250 0.143 0.577 Pb
0.750 0.357 0.077 Pb
0.750 0.478 0.662 Pb
0.250 0.522 0.338 Pb
0.750 0.745 0.111 Pt
0.250 0.255 0.889 Pt
0.250 0.755 0.611 Pt
0.750 0.245 0.389 Pt

---

Li4MgNi3O8 | Alexandria | PBEsol | relaxed; crystal system = monoclinic; SG = C2/c (15); formation energy (no corrections) = -1.55 eV per atom
1.0
-0.697 -0.905 -5.600
-0.636 -5.343 -1.974
-9.688 -1.330 -1.496
O Ni Li Mg
16 6 8 2
direct
0.099 0.657 0.124 O
0.410 0.842 0.374 O
0.639 0.609 0.610 O
0.361 0.391 0.390 O
0.650 0.120 0.120 O
0.858 0.891 0.890 O
0.350 0.880 0.880 O
0.373 0.342 0.874 O
0.590 0.158 0.626 O
0.879 0.843 0.376 O
0.891 0.380 0.380 O
0.142 0.109 0.110 O
0.627 0.658 0.126 O
0.901 0.343 0.876 O
0.109 0.620 0.620 O
0.121 0.157 0.624 O
0.754 0.750 0.250 Ni
0.500 0.000 0.000 Ni
0.246 0.250 0.750 Ni
0.000 0.000 0.000 Ni
0.000 0.500 0.500 Ni
0.500 0.500 0.500 Ni
0.737 0.756 0.747 Li
0.000 0.500 0.000 Li
0.760 0.256 0.247 Li
0.500 0.000 0.500 Li
0.000 0.000 0.500 Li
0.263 0.244 0.253 Li
0.500 0.500 0.000 Li
0.240 0.744 0.753 Li
0.747 0.250 0.750 Mg
0.253 0.750 0.250 Mg

---

Na3LiSc | Alexandria | PBEsol | relaxed; crystal system = cubic; SG = Pm-3m (221); calculated formation energy = 868 meV per atom
1.0
-5.569 -2.506 -0.845
-0.399 -1.152 6.044
-2.615 5.514 0.878
Na Sc Li
3 1 1
direct
0.000 0.500 0.000 Na
0.000 0.000 0.500 Na
0.500 0.000 0.000 Na
0.000 0.000 0.000 Sc
0.500 0.500 0.500 Li

---

ZnSb2WI | Alexandria | PBEsol | relaxed; crystal system = tetragonal; SG = P4/mmm (123); formation energy (no corrections) = 0.76 eV per atom
1.0
5.136 0.000 0.000
0.000 5.136 0.000
0.000 0.000 5.732
Zn I W Sb
1 1 1 2
direct
0.500 0.500 0.500 Zn
0.000 0.000 0.500 I
0.000 0.000 0.000 W
0.500 0.000 0.000 Sb
0.000 0.500 0.000 Sb

---

AlSb2Au2 | Alexandria | PBEsol | relaxed; crystal system = tetragonal; SG = I4/mmm (139); formation energy (no corrections) = 0.26 eV per atom
1.0
-3.467 2.105 -1.565
-1.629 -3.761 -1.450
-0.421 0.006 6.977
Au Sb Al
2 2 1
direct
0.603 0.603 0.207 Au
0.397 0.397 0.793 Au
0.750 0.250 0.500 Sb
0.250 0.750 0.500 Sb
0.000 0.000 0.000 Al

---

La3NbGa5O14 | Alexandria | PBEsol | relaxed; crystal system = trigonal; SG = P321 (150); formation energy (no corrections) = -2.51 eV per atom
1.0
5.194 0.000 0.000
0.000 8.209 0.000
0.000 -4.104 7.109
O La Ga Nb
14 3 5 1
direct
0.818 0.667 0.333 O
0.244 0.148 0.223 O
0.756 0.852 0.075 O
0.244 0.075 0.852 O
0.182 0.333 0.667 O
0.700 0.314 0.856 O
0.300 0.686 0.542 O
0.756 0.925 0.777 O
0.700 0.542 0.686 O
0.300 0.458 0.144 O
0.756 0.223 0.148 O
0.244 0.777 0.925 O
0.700 0.144 0.458 O
0.300 0.856 0.314 O
0.000 0.000 0.575 La
0.000 0.575 0.000 La
0.000 0.425 0.425 La
0.500 0.757 0.757 Ga
0.531 0.333 0.667 Ga
0.500 0.000 0.243 Ga
0.500 0.243 0.000 Ga
0.469 0.667 0.333 Ga
0.000 0.000 0.000 Nb

---

BeCoHg2 | Alexandria | PBEsol | relaxed; crystal system = tetragonal; SG = I-4m2 (119); calculated formation energy = 440 meV per atom
1.0
-0.076 -1.846 -3.270
3.307 -1.583 0.817
-3.612 -1.497 3.087
Hg Be Co
2 1 1
direct
0.000 0.000 0.000 Hg
0.750 0.250 0.500 Hg
0.500 0.500 0.000 Be
0.250 0.750 0.500 Co

---

TaBTeRu2 | Alexandria | PBEsol | relaxed; crystal system = tetragonal; SG = P4/mmm (123); formation energy (no corrections) = 2.61 eV per atom
1.0
4.662 0.000 0.000
0.000 4.662 0.000
0.000 0.000 5.037
B Ta Te Ru
1 1 1 2
direct
0.500 0.500 0.500 B
0.000 0.000 0.500 Ta
0.000 0.000 0.000 Te
0.000 0.500 0.000 Ru
0.500 0.000 0.000 Ru

---

Dy3Hg | Alexandria | PBEsol | relaxed; crystal system = cubic; SG = Pm-3m (221); calculated formation energy = -217 meV per atom
1.0
-2.753 2.140 3.140
-2.037 -4.105 1.012
3.208 -0.770 3.337
Dy Hg
3 1
direct
0.000 0.500 0.500 Dy
0.500 0.500 0.000 Dy
0.500 0.000 0.500 Dy
0.000 0.000 0.000 Hg

---

SrNi2As2 | Alexandria | PBEsol | relaxed; crystal system = tetragonal; SG = I4/mmm (139); calculated formation energy = -701 meV per atom
1.0
-2.756 -2.540 -1.689
3.021 -2.590 -1.035
-0.656 0.180 5.803
As Ni Sr
2 2 1
direct
0.362 0.362 0.725 As
0.638 0.638 0.275 As
0.250 0.750 0.500 Ni
0.750 0.250 0.500 Ni
0.000 0.000 0.000 Sr

---

KSr2Hg2 | Alexandria | PBEsol | relaxed; energy relative to the lowest polymorph listed for this composition = 0.222 eV/atom; crystal system = tetragonal; SG = I4/mmm (139); calculated formation energy = -149 meV per atom
1.0
-2.631 1.510 5.139
-4.557 -3.640 -1.263
6.486 -3.539 0.896
Sr K Hg
2 1 2
direct
0.661 0.661 0.321 Sr
0.339 0.339 0.679 Sr
0.000 0.000 0.000 K
0.250 0.750 0.500 Hg
0.750 0.250 0.500 Hg

---

ScNbSb2S | Alexandria | PBEsol | relaxed; crystal system = tetragonal; SG = P4/mmm (123); formation energy (no corrections) = 0.00 eV per atom
1.0
-2.544 3.092 2.113
-3.844 -0.587 -3.768
-2.299 -3.911 2.955
S Sb Nb Sc
1 2 1 1
direct
0.500 0.000 0.000 S
0.000 0.000 0.500 Sb
0.000 0.500 0.000 Sb
0.000 0.000 0.000 Nb
0.500 0.500 0.500 Sc

---

Tb2InCu2 | Alexandria | PBEsol | relaxed; crystal system = tetragonal; SG = P4/mbm (127); calculated formation energy = -398 meV per atom
1.0
-0.432 -3.198 1.829
-2.948 -3.067 -6.059
6.736 -2.159 -2.185
In Tb Cu
2 4 4
direct
0.000 0.500 0.500 In
0.000 0.000 0.000 In
0.500 0.827 0.327 Tb
0.500 0.173 0.673 Tb
0.500 0.327 0.173 Tb
0.500 0.673 0.827 Tb
0.000 0.621 0.121 Cu
0.000 0.379 0.879 Cu
0.000 0.121 0.379 Cu
0.000 0.879 0.621 Cu

---

Be2Tc2W | Alexandria | PBEsol | relaxed; crystal system = tetragonal; SG = P4/mbm (127); calculated formation energy = -216 meV per atom
1.0
3.028 0.000 0.000
0.000 6.192 0.000
0.000 0.000 6.192
W Tc Be
2 4 4
direct
0.000 0.500 0.500 W
0.000 0.000 0.000 W
0.500 0.175 0.675 Tc
0.500 0.825 0.325 Tc
0.500 0.325 0.175 Tc
0.500 0.675 0.825 Tc
0.000 0.619 0.119 Be
0.000 0.881 0.619 Be
0.000 0.119 0.381 Be
0.000 0.381 0.881 Be

---

LiSi2BMo | Alexandria | PBEsol | relaxed; crystal system = tetragonal; SG = P4/mmm (123); formation energy (no corrections) = 1.29 eV per atom
1.0
-3.333 -0.291 -1.143
-1.312 -0.442 3.939
-0.467 4.137 0.309
B Si Li Mo
1 2 1 1
direct
0.500 0.000 0.000 B
0.000 0.500 0.000 Si
0.000 0.000 0.500 Si
0.000 0.000 0.000 Li
0.500 0.500 0.500 Mo

---

NaSrScGe2 | Alexandria | PBEsol | relaxed; crystal system = tetragonal; SG = P4/mmm (123); calculated formation energy = 981 meV per atom
1.0
5.318 0.000 0.000
0.000 5.569 0.000
0.000 0.000 5.569
Na Ge Sr Sc
1 2 1 1
direct
0.500 0.500 0.500 Na
0.000 0.500 0.000 Ge
0.000 0.000 0.500 Ge
0.000 0.000 0.000 Sr
0.500 0.000 0.000 Sc

---

ZrFeNi2Os | Alexandria | PBEsol | relaxed; crystal system = tetragonal; SG = P4/mmm (123); calculated formation energy = 704 meV per atom
1.0
-3.766 0.200 1.839
-0.419 -4.155 -0.406
1.885 -0.573 3.922
Os Fe Ni Zr
1 1 2 1
direct
0.000 0.000 0.500 Os
0.000 0.000 0.000 Fe
0.500 0.000 0.000 Ni
0.000 0.500 0.000 Ni
0.500 0.500 0.500 Zr

---

TcN2Cl | Alexandria | PBEsol | relaxed; energy relative to the lowest polymorph listed for this composition = 0.107 eV/atom; crystal system = trigonal; SG = R-3m (166); formation energy (no corrections) = 0.38 eV per atom
1.0
-2.876 0.144 0.494
-1.313 -2.063 1.598
-0.352 2.663 5.818
N Tc Cl
2 1 1
direct
0.104 0.104 0.688 N
0.896 0.896 0.312 N
0.500 0.500 0.500 Tc
0.000 0.000 0.000 Cl

---

BaRu2Pb | Alexandria | PBEsol | relaxed; crystal system = monoclinic; SG = C2/m (12); calculated formation energy = 939 meV per atom
1.0
-1.355 -1.685 -2.283
-3.102 -0.924 4.534
-0.681 5.319 -1.510
Ru Ba Pb
2 1 1
direct
0.000 0.000 0.500 Ru
0.000 0.500 0.000 Ru
0.500 0.500 0.500 Ba
0.500 0.000 0.000 Pb

---

Results for calculated total energy: -3.078; -5.425; -7.554; -4.930; -3.950; -5.100; -5.926; -1.686; -4.492; -3.949; -7.595; -2.778; -6.076; -4.093; -5.574; -1.339; -6.189; -4.733; -9.084; -5.159; -2.964; -7.813; -7.203; -5.684 (in eV per atom, following the order of the records).